[1]
A relaxed BaGaO2F crystal. Source: the Alexandria database, functional PBE.

The value obtained for the calculated volume is 67.40 Å³/f.u. The calculation puts the magnetic moment at 0.00 μB per formula unit. For the uncorrected formation energy, the calculation gives -2.47 eV per atom.

The structure belongs to space group P4/mmm (No. 123); the cell edges are 3.981, 3.981 and 4.252 Å and the angles 90.00°, 90.00° and 90.00°. The distinct sites, in fractional coordinates, are Ba at (0.000, 0.000, 0.000), Ga at (0.500, 0.500, 0.500), O at (0.000, 0.500, 0.500) and F at (0.500, 0.500, 0.000).

---

[2]
A relaxed Li2ZrMn crystal. Source: the Alexandria database, functional PBE.

Its offset from the most stable computed form is 7.56 kJ/mol of atoms. The value obtained for the formation energy is 266 meV per atom. The value obtained for the calculated volume is 68.02 Å³/f.u. The calculation puts the magnetic moment at 1.70 μB per formula unit.

The structure belongs to space group I4/mmm (No. 139); the cell edges are 3.694, 3.694 and 9.971 Å and the angles 90.00°, 90.00° and 90.00°. The distinct sites, in fractional coordinates, are Li at (0.000, 0.500, 0.250), Zr at (0.000, 0.000, 0.000) and Mn at (0.000, 0.000, 0.500).

---

[3]
A relaxed AcTb2CeBi4 crystal. Source: the Alexandria database, functional PBE.

The value obtained for the formation energy is -873 meV per atom. The value obtained for the calculated volume is 279.50 Å³/f.u. The calculation puts the magnetic moment at 0.85 μB per formula unit.

The structure belongs to space group P2/m (No. 10); the cell edges are 7.995, 4.627 and 8.014 Å and the angles 90.00°, 109.48° and 90.00°. The distinct sites, in fractional coordinates, are Ac at (0.000, 0.000, 0.000), Tb at (0.500, 0.000, 0.500), Tb at (0.500, 0.500, 0.000), Ce at (0.000, 0.500, 0.500), Bi at (0.261, 0.000, 0.747) and Bi at (0.266, 0.500, 0.263).

---

[4]
A relaxed Y3InO crystal. Source: the Alexandria database, functional PBE.

The value obtained for the calculated volume is 138.39 Å³/f.u. The calculation puts the magnetic moment at 0.00 μB per formula unit. For the uncorrected formation energy, the calculation gives -1.14 eV per atom.

The structure belongs to space group Cmcm (No. 63); the cell edges are 6.963, 11.165 and 7.121 Å and the angles 90.00°, 90.00° and 90.00°. The distinct sites, in fractional coordinates, are Y at (0.000, 0.000, 0.000), Y at (0.249, 0.262, 0.250), In at (0.000, 0.483, 0.750) and O at (0.000, 0.121, 0.750).

---

[5]
A relaxed Tb2HoCd4 crystal. Source: the Alexandria database, functional PBE.

The value obtained for the formation energy is -158 meV per atom. The value obtained for the calculated volume is 195.90 Å³/f.u. The calculation puts the magnetic moment at 0.19 μB per formula unit.

The structure belongs to space group I4/mmm (No. 139); the cell edges are 5.323, 5.323 and 13.829 Å and the angles 90.00°, 90.00° and 90.00°. The distinct sites, in fractional coordinates, are Tb at (0.000, 0.000, 0.241), Ho at (0.000, 0.000, 0.500) and Cd at (0.000, 0.500, 0.114).

---

[6]
A relaxed RbRh3Se crystal. Source: the Alexandria database, functional PBE.

Its offset from the most stable computed form is 0.00 kJ/mol of atoms. The value obtained for the calculated volume is 106.47 Å³/f.u. The calculation puts the magnetic moment at 0.00 μB per formula unit. For the uncorrected formation energy, the calculation gives 0.43 eV per atom.

The structure belongs to space group Pm-3m (No. 221); the cell edges are 4.740, 4.740 and 4.740 Å and the angles 90.00°, 90.00° and 90.00°. The distinct sites, in fractional coordinates, are Rb at (0.000, 0.000, 0.000), Rh at (0.000, 0.500, 0.500) and Se at (0.500, 0.500, 0.500).

---

[7]
A relaxed Y5Tl3In crystal. Source: the Alexandria database, functional PBE.

The value obtained for the formation energy is -400 meV per atom. The value obtained for the calculated volume is 252.59 Å³/f.u. The calculation puts the magnetic moment at 0.00 μB per formula unit.

The structure belongs to space group P6_3/mcm (No. 193); the cell edges are 9.3246, 9.3246 and 6.7087 Å and the angles 90.00°, 90.00° and 120.00°. The distinct sites, in fractional coordinates, are Y at (0.0000, 0.2858, 0.2500), Y at (0.3333, 0.6667, 0.0000), Tl at (0.0000, 0.3752, 0.7500) and In at (0.0000, 0.0000, 0.0000).

---

[8]
A relaxed PmUAg2S6 crystal. Source: the Alexandria database, functional PBE.

The value obtained for the calculated volume is 239.76 Å³/f.u. The calculation puts the magnetic moment at 0.00 μB per formula unit. For the uncorrected formation energy, the calculation gives -0.87 eV per atom.

The structure belongs to space group P2_1/c (No. 14); the cell edges are 6.242, 7.552 and 11.453 Å and the angles 90.00°, 117.37° and 90.00°. The distinct sites, in fractional coordinates, are Pm at (0.000, 0.000, 0.000), U at (0.500, 0.000, 0.500), Ag at (0.142, 0.109, 0.661), S at (0.125, 0.065, 0.268), S at (0.264, 0.686, 0.084) and S at (0.411, 0.215, 0.087).

---

What is the magnetic moment in the third record?
0.85 μB per formula unit